A plane-wave DFT calculation with PBEsol was carried out for ScCo2Re after structural relaxation.

```
4
Lattice="-1.3420 2.1272 4.6401 1.3420 -2.1272 4.6401 1.3420 2.1272 -4.6401" Properties=species:S:1:pos:R:3 pbc="T T T"
Sc 0.0000 0.0000 0.0000
Co 1.3420 0.0000 2.5264
Co 0.0000 0.0000 4.5505
Re 0.0000 2.1272 1.9995
```

* DOS(E_F): 1.2105 states/eV per atom
* VASP energy: -8.808 eV per atom
* symmetry: Imm2
* E above lowest polymorph: 147 meV per atom